No. 1
Al5Tc4 | Alexandria | meta-GGA SCAN | single point on PBEsol structure; magnetic moment = 0.00 Bohr magnetons per cell; calculated volume = 127.5 Å³ per cell; formation energy = -0.21 eV/atom; Fermi-level density of states = 5.30 states/eV/cell
1.0
-2.1188 -0.6890 1.9257
3.3959 -0.5172 5.8030
-2.0789 6.0513 2.1295
Al Tc
5 4
direct
0.0000 0.0000 0.0000
0.6662 0.0000 0.6675
0.3338 0.0000 0.3325
0.6662 0.6675 0.0000
0.3338 0.3325 0.0000
0.0000 0.6664 0.3336
0.0000 0.3336 0.6664
0.6664 0.3336 0.3336
0.3336 0.6664 0.6664

=====

No. 2
BaYRh2 | Alexandria | meta-GGA SCAN | single point on PBEsol structure; magnetic moment = 0.00 Bohr magnetons per cell; calculated volume = 98.0 Å³ per cell; formation energy = -0.04 eV/atom; Fermi-level density of states = 3.13 states/eV/cell
1.0
-3.1511 1.8410 -0.6460
-0.2364 -1.5784 -3.3450
-3.7270 -5.3935 2.8084
Ba Rh Y
1 2 1
direct
0.5000 0.5000 0.8277
0.0000 0.0000 0.0382
0.5000 0.5000 0.2468
0.0000 0.0000 0.3874

=====

No. 3
CrSbS2 | Alexandria | meta-GGA SCAN | single point on PBEsol structure; magnetic moment = 6.37 Bohr magnetons per cell; calculated volume = 148.7 Å³ per cell; ΔE_f (raw) = -90 kJ/mol of formula units; Fermi-level density of states = 1.58 states/eV/cell
1.0
6.8772 0.0000 0.0000
-3.4386 4.4742 1.2983
0.0000 3.5820 5.8708
Sb S Cr
2 4 2
direct
0.7500 0.5000 0.7500
0.0000 0.0000 0.0000
0.5705 0.7500 0.3750
0.1795 0.7500 0.8750
0.8750 0.2500 0.5705
0.3750 0.2500 0.1795
0.2500 0.5000 0.2500
0.5000 0.0000 0.5000

=====

No. 4
RbMn4P3O12 | Alexandria | meta-GGA SCAN | single point on PBEsol structure; magnetic moment = 80.00 Bohr magnetons per cell; calculated volume = 1054.9 Å³ per cell; ΔE_f (raw) = -4675 kJ/mol of formula units; Fermi-level density of states = 0.00 states/eV/cell
1.0
-0.1206 3.8386 5.1013
-7.3148 -5.3547 3.8563
11.2283 -9.8237 7.6576
Rb Mn P O
4 16 12 48
direct
0.0000 0.7041 0.5336
0.5000 0.7959 0.0336
0.0000 0.2959 0.4664
0.5000 0.2041 0.9664
0.0000 0.0249 0.8590
0.7474 0.2466 0.2026
0.0000 0.5418 0.0947
0.5000 0.5249 0.6410
0.5000 0.0418 0.4053
0.5000 0.9582 0.5947
0.0000 0.9751 0.1410
0.7474 0.7534 0.7974
0.0000 0.4582 0.9053
0.2474 0.7466 0.2974
0.5000 0.4751 0.3590
0.2526 0.2466 0.2026
0.7526 0.2534 0.7026
0.2526 0.7534 0.7974
0.2474 0.2534 0.7026
0.7526 0.7466 0.2974
0.5000 0.5407 0.1677
0.5000 0.4593 0.8323
0.5000 0.7119 0.4623
0.0000 0.9593 0.6677
0.0000 0.5436 0.7184
0.0000 0.4564 0.2816
0.0000 0.2119 0.0377
0.5000 0.9564 0.2184
0.0000 0.0407 0.3323
0.0000 0.7881 0.9623
0.5000 0.0436 0.7816
0.5000 0.2881 0.5377
0.6932 0.3325 0.5886
0.0000 0.1162 0.6830
0.3068 0.3325 0.5886
0.7994 0.4041 0.3219
0.3026 0.5838 0.1228
0.5000 0.6162 0.8170
0.5000 0.6125 0.2531
0.5000 0.1137 0.2267
0.1932 0.1675 0.0886
0.2994 0.0959 0.8219
0.0000 0.8838 0.3170
0.0000 0.8875 0.7531
0.7994 0.5959 0.6781
0.6974 0.5838 0.1228
0.7006 0.9041 0.1781
0.5000 0.1071 0.6948
0.5000 0.3570 0.4562
0.5000 0.6430 0.5438
0.6932 0.6675 0.4114
0.0000 0.6137 0.2733
0.0000 0.3863 0.7267
0.7006 0.0959 0.8219
0.0000 0.6071 0.8052
0.5000 0.8863 0.7733
0.8068 0.1675 0.0886
0.0000 0.1430 0.9562
0.5000 0.8929 0.3052
0.0000 0.6323 0.9774
0.2006 0.5959 0.6781
0.2994 0.9041 0.1781
0.1974 0.0838 0.3772
0.8026 0.9162 0.6228
0.8026 0.0838 0.3772
0.5000 0.8677 0.4774
0.0000 0.3929 0.1948
0.6974 0.4162 0.8772
0.5000 0.1323 0.5226
0.8068 0.8325 0.9114
0.5000 0.3838 0.1830
0.1932 0.8325 0.9114
0.0000 0.1125 0.2469
0.3026 0.4162 0.8772
0.0000 0.8570 0.0438
0.0000 0.3677 0.0226
0.5000 0.3875 0.7469
0.3068 0.6675 0.4114
0.1974 0.9162 0.6228
0.2006 0.4041 0.3219

=====

No. 5
MgO | Alexandria | meta-GGA SCAN | single point on PBEsol structure; magnetic moment = 0.00 Bohr magnetons per cell; calculated volume = 47.5 Å³ per cell; ΔE_f (raw) = -560 kJ/mol of formula units; Fermi-level density of states = 0.00 states/eV/cell
1.0
3.3113 0.0000 0.0000
-1.6557 2.8677 0.0000
0.0000 0.0000 4.9978
Mg O
2 2
direct
0.3333 0.6667 0.0026
0.6667 0.3333 0.5026
0.3333 0.6667 0.6030
0.6667 0.3333 0.1030

=====

No. 6
ZrAlOs | Alexandria | meta-GGA SCAN | single point on PBEsol structure; magnetic moment = 0.00 Bohr magnetons per cell; calculated volume = 199.4 Å³ per cell; formation energy = -0.65 eV/atom; Fermi-level density of states = 11.01 states/eV/cell
1.0
-1.8968 1.4159 4.6717
-3.2929 -0.6642 -4.0179
-0.9031 -8.0345 2.0684
Zr Al Os
4 4 4
direct
0.6650 0.3350 0.2012
0.3276 0.6724 0.3202
0.3276 0.6724 0.6798
0.6650 0.3350 0.7988
0.0051 0.9949 0.2501
0.0051 0.9949 0.7499
0.1698 0.3437 0.0000
0.6563 0.8302 0.0000
0.1690 0.8310 0.0000
0.8328 0.6595 0.5000
0.3405 0.1672 0.5000
0.8363 0.1637 0.5000

=====

No. 7
SrMnO3 | Alexandria | meta-GGA SCAN | single point on PBEsol structure; magnetic moment = 3.00 Bohr magnetons per cell; calculated volume = 54.4 Å³ per cell; ΔE_f (raw) = -1287 kJ/mol of formula units; Fermi-level density of states = 0.22 states/eV/cell
1.0
-0.4026 2.9353 -2.3613
-1.8819 -2.2139 -2.4312
-3.2634 0.9145 1.6933
Sr Mn O
1 1 3
direct
0.5000 0.5000 0.5000
0.0000 0.0000 0.0000
0.0000 0.5000 0.0000
0.0000 0.0000 0.5000
0.5000 0.0000 0.0000

=====

No. 8
PtAu3 | Alexandria | meta-GGA SCAN | single point on PBEsol structure; magnetic moment = 0.00 Bohr magnetons per cell; calculated volume = 66.2 Å³ per cell; formation energy = 0.05 eV/atom; Fermi-level density of states = 1.61 states/eV/cell
1.0
2.8251 0.0000 0.0000
0.0000 4.8357 0.0000
-1.4125 -2.4179 4.8446
Au Pt
3 1
direct
0.7538 0.7538 0.5075
0.0000 0.5000 0.0000
0.2462 0.2462 0.4925
0.5000 0.0000 0.0000

=====

No. 9
MgAlCd2 | Alexandria | meta-GGA SCAN | single point on PBEsol structure; magnetic moment = 0.00 Bohr magnetons per cell; calculated volume = 180.0 Å³ per cell; formation energy = 0.21 eV/atom; Fermi-level density of states = 3.36 states/eV/cell
1.0
-4.3576 -3.5096 1.5766
1.5038 -5.5298 2.5632
-2.2266 0.5745 5.8414
Mg Al Cd
2 2 4
direct
0.2500 0.5000 0.5000
0.5000 0.0000 0.0000
0.7500 0.5000 0.5000
0.0000 0.0000 0.0000
0.1041 0.0209 0.5209
0.6459 0.9791 0.4791
0.3750 0.5209 0.9791
0.8750 0.4791 0.0209

=====

No. 10
NaScOs2Ru | Alexandria | meta-GGA SCAN | single point on PBEsol structure; magnetic moment = 0.00 Bohr magnetons per cell; calculated volume = 100.2 Å³ per cell; formation energy = 1.22 eV/atom; Fermi-level density of states = 3.60 states/eV/cell
1.0
4.6250 0.0000 0.0000
0.0000 4.6250 0.0000
0.0000 0.0000 4.6839
Sc Ru Os Na
1 1 2 1
direct
0.5000 0.5000 0.5000
0.0000 0.0000 0.0000
0.0000 0.5000 0.0000
0.5000 0.0000 0.0000
0.0000 0.0000 0.5000

=====

No. 11
Cr21Mo2C6 | Alexandria | meta-GGA SCAN | single point on PBEsol structure; magnetic moment = 0.00 Bohr magnetons per cell; calculated volume = 290.5 Å³ per cell; formation energy = -0.07 eV/atom; Fermi-level density of states = 20.67 states/eV/cell
1.0
7.4344 0.0000 0.0000
3.7172 6.4383 0.0000
3.7172 2.1461 6.0701
C Cr Mo
6 21 2
direct
0.2744 0.7256 0.2744
0.7256 0.2744 0.7256
0.2744 0.2744 0.7256
0.7256 0.7256 0.2744
0.7256 0.2744 0.2744
0.2744 0.7256 0.7256
0.0000 0.0000 0.0000
0.3841 0.3841 0.3841
0.8478 0.3841 0.3841
0.3841 0.3841 0.8478
0.3841 0.8478 0.3841
0.1522 0.6159 0.6159
0.6159 0.6159 0.6159
0.6159 0.6159 0.1522
0.6159 0.1522 0.6159
0.0000 0.3384 0.0000
0.6616 0.0000 0.3384
0.3384 0.0000 0.6616
0.0000 0.6616 0.0000
0.0000 0.0000 0.3384
0.3384 0.6616 0.0000
0.6616 0.3384 0.0000
0.0000 0.0000 0.6616
0.3384 0.0000 0.0000
0.0000 0.3384 0.6616
0.0000 0.6616 0.3384
0.6616 0.0000 0.0000
0.2500 0.2500 0.2500
0.7500 0.7500 0.7500

=====

No. 12
ScFeTe2 | Alexandria | meta-GGA SCAN | single point on PBEsol structure; magnetic moment = 3.35 Bohr magnetons per cell; calculated volume = 82.5 Å³ per cell; ΔE_f (raw) = -102 kJ/mol of formula units; Fermi-level density of states = 2.73 states/eV/cell
1.0
-2.3571 0.9101 2.3981
-2.1616 -2.4581 -1.1917
2.6940 -4.4761 4.3465
Fe Sc Te
1 1 2
direct
0.5000 0.5000 0.0000
0.5000 0.5000 0.5000
0.0000 0.0000 0.7569
0.0000 0.0000 0.2431